Entry 1:
VASP calculation (PBE) on Zn6Cu3Rh after structural relaxation.

Calculated values
* space-group type: P2_1/c, No. 14
* raw total energy: -0.1016 Ha/atom

Lattice parameters (Å, degrees): 6.502 6.371 8.167 90.00 123.51 90.00
Element x y z (fractional)
Zn: 0.027 0.129 0.223
Zn: 0.027 0.371 0.723
Zn: 0.259 0.701 0.671
Zn: 0.259 0.799 0.171
Zn: 0.379 0.078 0.831
Zn: 0.379 0.422 0.331
Zn: 0.621 0.578 0.669
Zn: 0.621 0.922 0.169
Zn: 0.741 0.201 0.829
Zn: 0.741 0.299 0.329
Zn: 0.973 0.629 0.277
Zn: 0.973 0.871 0.777
Cu: 0.000 0.000 0.500
Cu: 0.000 0.500 0.000
Cu: 0.256 0.172 0.059
Cu: 0.256 0.328 0.559
Cu: 0.744 0.672 0.441
Cu: 0.744 0.828 0.941
Rh: 0.500 0.000 0.500
Rh: 0.500 0.500 0.000



Entry 2:
VASP calculation (PBE) on LaNi2RuBr after structural relaxation.

Calculated values
* space-group type: P4/mmm, No. 123
* formation energy without anion corrections: 6.51 eV/f.u.

Lattice parameters (Å, degrees): 4.761 4.761 5.589 90.00 90.00 90.00
Element x y z (fractional)
La: 0.000 0.000 0.000
Ni: 0.000 0.500 0.000
Ni: 0.500 0.000 0.000
Ru: 0.500 0.500 0.500
Br: 0.000 0.000 0.500



Entry 3:
VASP calculation (PBE) on Mn2InCl after structural relaxation.

Calculated values
* space-group type: Pmmm, No. 47
* formation energy without anion corrections: 1.15 eV/f.u.

Lattice parameters (Å, degrees): 3.076 4.634 5.393 90.00 90.00 90.00
Element x y z (fractional)
Mn: 0.000 0.000 0.000
Mn: 0.500 0.000 0.500
In: 0.000 0.500 0.500
Cl: 0.500 0.500 0.000



Entry 4:
VASP calculation (PBE) on Pm4SmAg after structural relaxation.

Calculated values
* space-group type: Cmc2_1, No. 36
* raw total energy: -0.1612 Ha/atom

Lattice parameters (Å, degrees): 10.915 10.915 6.554 90.00 90.00 150.34
Element x y z (fractional)
Pm: 0.035 0.965 0.500
Pm: 0.178 0.822 0.690
Pm: 0.247 0.753 0.219
Pm: 0.436 0.564 0.331
Pm: 0.564 0.436 0.831
Pm: 0.753 0.247 0.719
Pm: 0.822 0.178 0.190
Pm: 0.965 0.035 0.000
Sm: 0.367 0.633 0.829
Sm: 0.633 0.367 0.329
Ag: 0.106 0.894 0.090
Ag: 0.894 0.106 0.590